Entry 1:
A plane-wave DFT calculation with PBE-GGA was carried out for a relaxed TbHfSc2P4 crystal.

abc: 3.8070 6.6022 6.5630
angles: 109.32 90.00 90.00
Sites, in units of the cell vectors:
1 Tb 0.5000 0.5000 0.0000
2 Hf 0.0000 0.0000 0.0000
3 Sc 0.5000 0.0000 0.5000
4 Sc 0.0000 0.5000 0.5000
5 P 0.5000 0.2411 0.2526
6 P 0.5000 0.7589 0.7474
7 P 0.0000 0.2366 0.7402
8 P 0.0000 0.7634 0.2598

## Properties
ΔH_f (0 K)	-1470	meV per atom
theoretical density	5.9	Mg/m³
total magnetic moment	0.0	Bohr magnetons per cell
space-group type	P2/m (10)


Entry 2:
A plane-wave DFT calculation with PBE-GGA was carried out for a relaxed Tb2HfScP4 crystal.

abc: 3.8646 6.6913 6.7113
angles: 109.30 90.00 90.00
Sites, in units of the cell vectors:
1 Tb 0.5000 0.0000 0.5000
2 Tb 0.0000 0.5000 0.5000
3 Hf 0.0000 0.0000 0.0000
4 Sc 0.5000 0.5000 0.0000
5 P 0.5000 0.2420 0.2309
6 P 0.5000 0.7580 0.7691
7 P 0.0000 0.2538 0.7684
8 P 0.0000 0.7462 0.2316

## Properties
ΔH_f (0 K)	-1514	meV per atom
theoretical density	6.7	Mg/m³
total magnetic moment	0.0	Bohr magnetons per cell
space-group type	P2/m (10)


Entry 3:
A plane-wave DFT calculation with PBE-GGA was carried out for a relaxed TbHf2ScP4 crystal.

abc: 3.7762 6.5404 6.6174
angles: 109.32 90.00 90.00
Sites, in units of the cell vectors:
1 Tb 0.5000 0.5000 0.0000
2 Hf 0.5000 0.0000 0.5000
3 Hf 0.0000 0.5000 0.5000
4 Sc 0.0000 0.0000 0.0000
5 P 0.5000 0.2462 0.2587
6 P 0.5000 0.7538 0.7413
7 P 0.0000 0.2387 0.7361
8 P 0.0000 0.7613 0.2639

## Properties
ΔH_f (0 K)	-1412	meV per atom
theoretical density	7.4	Mg/m³
total magnetic moment	0.0	Bohr magnetons per cell
space-group type	P2/m (10)


Entry 4:
A plane-wave DFT calculation with PBE-GGA was carried out for a relaxed HfScTeP crystal.

abc: 3.8147 3.8141 7.1322
angles: 90.00 105.52 119.99
Sites, in units of the cell vectors:
1 Hf 0.1027 0.9493 0.0674
2 Sc 0.5036 0.1498 0.6685
3 Te 0.9649 0.3804 0.3606
4 P 0.3066 0.5513 0.8731

## Properties
energy relative to the elements, uncorrected	-1.197	eV per atom
theoretical density	7.4	Mg/m³
total magnetic moment	0.0	Bohr magnetons per cell
space-group type	R3m (160)


Entry 5:
A plane-wave DFT calculation with PBE-GGA was carried out for a relaxed Hf2ScTiP4 crystal.

abc: 3.6712 6.3673 6.3512
angles: 109.54 90.00 90.00
Sites, in units of the cell vectors:
1 Hf 0.5000 0.0000 0.5000
2 Hf 0.0000 0.5000 0.5000
3 Sc 0.0000 0.0000 0.0000
4 Ti 0.5000 0.5000 0.0000
5 P 0.5000 0.2537 0.2463
6 P 0.5000 0.7463 0.7537
7 P 0.0000 0.2576 0.7576
8 P 0.0000 0.7424 0.2424

## Properties
ΔH_f (0 K)	-1269	meV per atom
theoretical density	6.8	Mg/m³
total magnetic moment	0.0	Bohr magnetons per cell
space-group type	P2/m (10)


Entry 6:
A plane-wave DFT calculation with PBE-GGA was carried out for a relaxed Hf2ScTiP crystal.

abc: 4.9078 4.7156 4.9078
angles: 90.00 90.00 90.00
Sites, in units of the cell vectors:
1 Sc 0.0000 0.0000 0.0000
2 P 0.0000 0.5000 0.0000
3 Hf 0.0000 0.0000 0.5000
4 Hf 0.5000 0.0000 0.0000
5 Ti 0.5000 0.5000 0.5000

## Properties
ΔH_f (0 K)	1084	meV per atom
theoretical density	7.0	Mg/m³
total magnetic moment	0.0	Bohr magnetons per cell
space-group type	P4/mmm (123)


Entry 7:
A plane-wave DFT calculation with PBE-GGA was carried out for a relaxed Tm2HfScP4 crystal.

abc: 3.8245 6.6230 6.6398
angles: 109.30 90.00 90.00
Sites, in units of the cell vectors:
1 Tm 0.5000 0.0000 0.5000
2 Tm 0.0000 0.5000 0.5000
3 Hf 0.0000 0.0000 0.0000
4 Sc 0.5000 0.5000 0.0000
5 P 0.5000 0.2440 0.2363
6 P 0.5000 0.7560 0.7637
7 P 0.0000 0.2524 0.7630
8 P 0.0000 0.7476 0.2370

## Properties
ΔH_f (0 K)	-1515	meV per atom
theoretical density	7.2	Mg/m³
total magnetic moment	0.0	Bohr magnetons per cell
space-group type	P2/m (10)


Entry 8:
A plane-wave DFT calculation with PBE-GGA was carried out for a relaxed TmHfSc2P4 crystal.

abc: 3.7850 6.5610 6.5340
angles: 109.33 90.00 90.00
Sites, in units of the cell vectors:
1 Tm 0.5000 0.5000 0.0000
2 Hf 0.0000 0.0000 0.0000
3 Sc 0.5000 0.0000 0.5000
4 Sc 0.0000 0.5000 0.5000
5 P 0.5000 0.2433 0.2513
6 P 0.5000 0.7567 0.7487
7 P 0.0000 0.2404 0.7436
8 P 0.0000 0.7596 0.2564

## Properties
ΔH_f (0 K)	-1481	meV per atom
theoretical density	6.1	Mg/m³
total magnetic moment	0.0	Bohr magnetons per cell
space-group type	P2/m (10)


Entry 9:
A plane-wave DFT calculation with PBE-GGA was carried out for a relaxed TmHf2ScP4 crystal.

abc: 3.7555 6.5061 6.5767
angles: 109.33 90.00 90.00
Sites, in units of the cell vectors:
1 Tm 0.5000 0.5000 0.0000
2 Hf 0.5000 0.0000 0.5000
3 Hf 0.0000 0.5000 0.5000
4 Sc 0.0000 0.0000 0.0000
5 P 0.5000 0.2475 0.2564
6 P 0.5000 0.7525 0.7436
7 P 0.0000 0.2421 0.7400
8 P 0.0000 0.7579 0.2600

## Properties
ΔH_f (0 K)	-1418	meV per atom
theoretical density	7.6	Mg/m³
total magnetic moment	0.0	Bohr magnetons per cell
space-group type	P2/m (10)


Entry 10:
A plane-wave DFT calculation with PBE-GGA was carried out for a relaxed HfScPW2 crystal.

abc: 4.5248 4.7096 4.5248
angles: 90.00 90.00 90.00
Sites, in units of the cell vectors:
1 Sc 0.0000 0.5000 0.0000
2 P 0.0000 0.0000 0.0000
3 Hf 0.5000 0.5000 0.5000
4 W 0.0000 0.0000 0.5000
5 W 0.5000 0.0000 0.0000

## Properties
ΔH_f (0 K)	260	meV per atom
theoretical density	10.7	Mg/m³
total magnetic moment	0.0	Bohr magnetons per cell
space-group type	P4/mmm (123)


Entry 11:
A plane-wave DFT calculation with PBE-GGA was carried out for a relaxed HfScPW2 crystal.

abc: 4.5184 4.8129 4.5184
angles: 90.00 90.00 90.00
Sites, in units of the cell vectors:
1 Sc 0.5000 0.5000 0.5000
2 P 0.0000 0.0000 0.0000
3 Hf 0.0000 0.5000 0.0000
4 W 0.0000 0.0000 0.5000
5 W 0.5000 0.0000 0.0000

## Properties
ΔH_f (0 K)	270	meV per atom
theoretical density	10.5	Mg/m³
total magnetic moment	0.0	Bohr magnetons per cell
space-group type	P4/mmm (123)


Entry 12:
A plane-wave DFT calculation with PBE-GGA was carried out for a relaxed Y2HfScP4 crystal.

abc: 3.8574 6.6793 6.6998
angles: 109.30 90.00 90.00
Sites, in units of the cell vectors:
1 Y 0.5000 0.0000 0.5000
2 Y 0.0000 0.5000 0.5000
3 Hf 0.0000 0.0000 0.0000
4 Sc 0.5000 0.5000 0.0000
5 P 0.5000 0.2422 0.2317
6 P 0.5000 0.7578 0.7683
7 P 0.0000 0.2536 0.7676
8 P 0.0000 0.7464 0.2324

## Properties
ΔH_f (0 K)	-1519	meV per atom
theoretical density	5.4	Mg/m³
total magnetic moment	0.0	Bohr magnetons per cell
space-group type	P2/m (10)


Entry 13:
A plane-wave DFT calculation with PBE-GGA was carried out for a relaxed YHfSc2P4 crystal.

abc: 3.8026 6.5948 6.5582
angles: 109.32 90.00 90.00
Sites, in units of the cell vectors:
1 Y 0.5000 0.5000 0.0000
2 Hf 0.0000 0.0000 0.0000
3 Sc 0.5000 0.0000 0.5000
4 Sc 0.0000 0.5000 0.5000
5 P 0.5000 0.2415 0.2524
6 P 0.5000 0.7585 0.7476
7 P 0.0000 0.2372 0.7408
8 P 0.0000 0.7628 0.2592

## Properties
ΔH_f (0 K)	-1475	meV per atom
theoretical density	5.1	Mg/m³
total magnetic moment	0.0	Bohr magnetons per cell
space-group type	P2/m (10)


Entry 14:
A plane-wave DFT calculation with PBE-GGA was carried out for a relaxed HfZr2ScP4 crystal.

abc: 3.7289 6.4657 6.4778
angles: 109.46 90.00 90.00
Sites, in units of the cell vectors:
1 Hf 0.0000 0.0000 0.0000
2 Zr 0.5000 0.0000 0.5000
3 Zr 0.0000 0.5000 0.5000
4 Sc 0.5000 0.5000 0.0000
5 P 0.5000 0.2481 0.2457
6 P 0.5000 0.7519 0.7543
7 P 0.0000 0.2507 0.7539
8 P 0.0000 0.7493 0.2461

## Properties
ΔH_f (0 K)	-1368	meV per atom
theoretical density	6.0	Mg/m³
total magnetic moment	0.0	Bohr magnetons per cell
space-group type	P2/m (10)


Entry 15:
A plane-wave DFT calculation with PBE-GGA was carried out for a relaxed Hf2ZrScP4 crystal.

abc: 3.7185 6.4537 6.4528
angles: 109.45 90.00 90.00
Sites, in units of the cell vectors:
1 Hf 0.5000 0.0000 0.5000
2 Hf 0.0000 0.5000 0.5000
3 Zr 0.5000 0.5000 0.0000
4 Sc 0.0000 0.0000 0.0000
5 P 0.5000 0.2492 0.2524
6 P 0.5000 0.7508 0.7476
7 P 0.0000 0.2473 0.7465
8 P 0.0000 0.7527 0.2535

## Properties
ΔH_f (0 K)	-1347	meV per atom
theoretical density	7.0	Mg/m³
total magnetic moment	0.0	Bohr magnetons per cell
space-group type	P2/m (10)


Entry 16:
A plane-wave DFT calculation with PBE-GGA was carried out for a relaxed Hf3PSe3 crystal.

abc: 9.1925 9.1924 9.1924
angles: 109.47 109.47 109.47
Sites, in units of the cell vectors:
1 Hf 0.9777 0.4889 0.2389
2 Hf 0.5111 0.0223 0.2611
3 Hf 0.2500 0.0111 0.4889
4 Hf 0.9889 0.7500 0.0111
5 Hf 0.9889 0.2389 0.4777
6 Hf 0.7611 0.0111 0.0223
7 Hf 0.7389 0.4777 0.4889
8 Hf 0.7611 0.7500 0.2389
9 Hf 0.5223 0.2611 0.0111
10 Hf 0.2500 0.2389 0.2611
11 Hf 0.7389 0.2611 0.7500
12 Hf 0.5111 0.4889 0.7500
13 P 0.7500 0.5000 0.0000
14 P 0.5000 0.2500 0.5000
15 P 0.7500 0.2500 0.2500
16 P 0.0000 0.0000 0.2500
17 Se 0.2450 0.9950 0.9900
18 Se 0.7500 0.7550 0.7450
19 Se 0.4900 0.7450 0.9950
20 Se 0.0050 0.2500 0.9950
21 Se 0.2550 0.7450 0.2500
22 Se 0.4950 0.5050 0.2500
23 Se 0.2450 0.2500 0.7550
24 Se 0.2550 0.5100 0.5050
25 Se 0.7500 0.9950 0.5050
26 Se 0.0100 0.5050 0.7550
27 Se 0.0050 0.7550 0.5100
28 Se 0.4950 0.9900 0.7450

## Properties
energy relative to the elements, uncorrected	-1.319	eV per atom
theoretical density	8.9	Mg/m³
total magnetic moment	0.0	Bohr magnetons per cell
space-group type	I4_132 (214)


Entry 17:
A plane-wave DFT calculation with PBE-GGA was carried out for a relaxed Hf2PSe crystal.

abc: 4.6389 4.6389 4.6389
angles: 60.00 60.00 60.00
Sites, in units of the cell vectors:
1 P 0.0000 0.0000 0.0000
2 Hf 0.2500 0.2500 0.2500
3 Hf 0.7500 0.7500 0.7500
4 Se 0.5000 0.5000 0.5000

## Properties
energy relative to the elements, uncorrected	-0.899	eV per atom
theoretical density	11.0	Mg/m³
total magnetic moment	0.0	Bohr magnetons per cell
space-group type	Fm-3m (225)


Entry 18:
A plane-wave DFT calculation with PBE-GGA was carried out for a relaxed Hf4PSe crystal.

abc: 7.0395 7.0395 7.0395
angles: 105.76 105.76 117.17
Sites, in units of the cell vectors:
1 Hf 0.2627 0.9636 0.7009
2 Hf 0.7373 0.4488 0.7115
3 Hf 0.7136 0.5127 0.2009
4 Hf 0.1988 0.9873 0.2115
5 Hf 0.3119 0.5127 0.7991
6 Hf 0.7758 0.9873 0.7885
7 Hf 0.7373 0.0258 0.2885
8 Hf 0.2627 0.5619 0.2991
9 P 0.7558 0.7558 0.0000
10 P 0.5058 0.0058 0.5000
11 Se 0.2441 0.2441 0.0000
12 Se 0.9941 0.4941 0.5000

## Properties
energy relative to the elements, uncorrected	-0.467	eV per atom
theoretical density	10.3	Mg/m³
total magnetic moment	0.0	Bohr magnetons per cell
space-group type	I4_1md (109)


Entry 19:
A plane-wave DFT calculation with PBE-GGA was carried out for a relaxed Hf2PSe crystal.

abc: 5.8819 5.8819 7.1868
angles: 65.84 65.84 90.00
Sites, in units of the cell vectors:
1 P 0.5000 0.5000 0.0000
2 P 0.2500 0.7500 0.5000
3 Hf 0.6053 0.1250 0.2500
4 Hf 0.1447 0.6250 0.2500
5 Hf 0.3750 0.3947 0.7500
6 Hf 0.8750 0.8553 0.7500
7 Se 0.0000 0.0000 0.0000
8 Se 0.7500 0.2500 0.5000

## Properties
energy relative to the elements, uncorrected	-0.524	eV per atom
theoretical density	7.6	Mg/m³
total magnetic moment	0.0	Bohr magnetons per cell
space-group type	I-42d (122)


Entry 20:
A plane-wave DFT calculation with PBE-GGA was carried out for a relaxed Hf6PSe2 crystal.

abc: 5.9220 6.6752 9.0910
angles: 90.00 93.49 90.00
Sites, in units of the cell vectors:
1 Hf 0.8344 0.9697 0.2407
2 Hf 0.8441 0.6602 0.5603
3 Hf 0.8602 0.7035 0.9438
4 Hf 0.6398 0.2035 0.5562
5 Hf 0.6559 0.1602 0.9397
6 Hf 0.6656 0.4697 0.2593
7 Hf 0.1656 0.0303 0.7593
8 Hf 0.1559 0.3398 0.4397
9 Hf 0.1398 0.2965 0.0562
10 Hf 0.3602 0.7965 0.4438
11 Hf 0.3441 0.8398 0.0603
12 Hf 0.3344 0.5303 0.7407
13 P 0.5000 0.5000 0.0000
14 P 0.0000 0.0000 0.5000
15 Se 0.9269 0.3742 0.7736
16 Se 0.5731 0.8742 0.7264
17 Se 0.4269 0.1258 0.2736
18 Se 0.0731 0.6258 0.2264

## Properties
energy relative to the elements, uncorrected	-0.704	eV per atom
theoretical density	11.7	Mg/m³
total magnetic moment	0.0	Bohr magnetons per cell
space-group type	P2_1/c (14)


Entry 21:
A plane-wave DFT calculation with PBE-GGA was carried out for a relaxed Hf2PSe crystal.

abc: 3.7474 3.7474 6.7178
angles: 73.80 73.80 60.00
Sites, in units of the cell vectors:
1 P 0.0000 0.0000 0.0000
2 Hf 0.2655 0.2655 0.2034
3 Hf 0.7345 0.7345 0.7966
4 Se 0.5000 0.5000 0.5000

## Properties
energy relative to the elements, uncorrected	-1.148	eV per atom
theoretical density	10.0	Mg/m³
total magnetic moment	0.0	Bohr magnetons per cell
space-group type	R-3m (166)


Entry 22:
A plane-wave DFT calculation with PBE-GGA was carried out for a relaxed Hf2PSe crystal.

abc: 3.6529 3.6529 6.9105
angles: 74.67 74.67 60.00
Sites, in units of the cell vectors:
1 Hf 0.0727 0.0727 0.7820
2 Hf 0.2619 0.2619 0.2142
3 P 0.6670 0.6670 0.9990
4 Se 0.4984 0.4984 0.5048

## Properties
energy relative to the elements, uncorrected	-1.165	eV per atom
theoretical density	10.2	Mg/m³
total magnetic moment	0.0	Bohr magnetons per cell
space-group type	R3m (160)


Entry 23:
A plane-wave DFT calculation with PBE-GGA was carried out for a relaxed SrHfP2Se8 crystal.

abc: 6.3558 6.3558 9.1241
angles: 90.00 90.00 120.00
Sites, in units of the cell vectors:
1 Sr 0.0000 0.0000 0.0000
2 Hf 0.0000 0.0000 0.5000
3 P 0.6667 0.3333 0.2542
4 P 0.3333 0.6667 0.7458
5 Se 0.3333 0.6667 0.9831
6 Se 0.3247 0.3390 0.3210
7 Se 0.6610 0.9857 0.3210
8 Se 0.6667 0.3333 0.0169
9 Se 0.3390 0.0143 0.6790
10 Se 0.6753 0.6610 0.6790
11 Se 0.9857 0.3247 0.6790
12 Se 0.0143 0.6753 0.3210

## Properties
energy relative to the elements, uncorrected	-0.608	eV per atom
theoretical density	5.0	Mg/m³
total magnetic moment	0.0	Bohr magnetons per cell
space-group type	P-3 (147)


Entry 24:
A plane-wave DFT calculation with PBE-GGA was carried out for a relaxed HfSiP2 crystal.

abc: 5.7357 5.7357 6.6076
angles: 64.28 64.28 90.00
Each line ends with the local moment (μB).
Sites, in units of the cell vectors:
1 P 0.5884 0.1250 0.2500  0.00
2 P 0.1616 0.6250 0.2500  0.00
3 P 0.3750 0.4116 0.7500  0.00
4 P 0.8750 0.8384 0.7500  0.00
5 Si 0.5000 0.5000 0.0000  0.02
6 Si 0.2500 0.7500 0.5000  0.02
7 Hf 0.0000 0.0000 0.0000  0.15
8 Hf 0.7500 0.2500 0.5000  0.15

## Properties
energy relative to the elements, uncorrected	-0.188	eV per atom
theoretical density	5.2	Mg/m³
total magnetic moment	0.8	Bohr magnetons per cell
space-group type	I-42d (122)